1 | LiNiAsSe2 (PBE-GGA, relaxed); magnetic moment = 0.50 μB per formula unit
1.0
4.6416 0.0000 0.0000
0.0000 4.6416 0.0000
0.0000 0.0000 4.3764
Li Ni As Se
1 1 1 2
direct
0.0000 0.0000 0.0000
0.5000 0.5000 0.5000
0.0000 0.0000 0.5000
0.0000 0.5000 0.0000
0.5000 0.0000 0.0000

---

2 | LiNiAsSe2 (PBE-GGA, relaxed); magnetic moment = 0.00 μB per formula unit
1.0
4.9958 0.0000 0.0000
0.0000 4.9958 0.0000
0.0000 0.0000 4.3519
Li Ni As Se
1 1 1 2
direct
0.0000 0.0000 0.0000
0.5000 0.5000 0.5000
0.5000 0.5000 0.0000
0.0000 0.5000 0.5000
0.5000 0.0000 0.5000

---

Short version: 2 is the most stable of them.

---

1 | LiNpAs2 (PBE-GGA, relaxed); magnetic moment = 3.05 μB per formula unit
1.0
2.2153 1.2790 4.7132
-2.2153 1.2790 4.7132
0.0000 -2.5580 4.7132
Li Np As
1 1 2
direct
0.0000 0.0000 0.0000
0.5000 0.5000 0.5000
0.2567 0.2567 0.2567
0.7433 0.7433 0.7433

---

2 | LiNpAs2 (PBE-GGA, relaxed); magnetic moment = 3.27 μB per formula unit
1.0
4.5559 0.0000 0.0000
0.0000 4.5559 0.0000
0.0000 0.0000 3.7130
Li Np As
1 1 2
direct
0.0000 0.0000 0.0000
0.5000 0.5000 0.0000
0.0000 0.5000 0.5000
0.5000 0.0000 0.5000

---

3 | LiNpAs2 (PBE-GGA, relaxed); magnetic moment = 3.49 μB per formula unit
1.0
2.0529 1.1852 5.9918
-2.0529 1.1852 5.9918
0.0000 -2.3705 5.9918
Li Np As
1 1 2
direct
0.0000 0.0000 0.0000
0.1799 0.1799 0.1799
0.6031 0.6031 0.6031
0.7545 0.7545 0.7545

---

Short version: 2 is the most stable of them.

---

1 | LiNpAs2 (PBE-GGA, relaxed); magnetic moment = 3.68 μB per formula unit
1.0
3.9095 0.0000 0.0000
0.0000 3.9095 0.0000
0.0000 0.0000 10.2864
Li Np As
2 2 4
direct
0.2500 0.7500 0.0000
0.7500 0.2500 0.0000
0.2500 0.2500 0.2772
0.7500 0.7500 0.7228
0.2500 0.2500 0.8293
0.2500 0.7500 0.5000
0.7500 0.2500 0.5000
0.7500 0.7500 0.1707

---

2 | LiNpAs2 (PBE-GGA, relaxed); magnetic moment = 3.06 μB per formula unit
1.0
0.0000 3.3863 3.3863
3.3863 0.0000 3.3863
3.3863 3.3863 0.0000
Li Np As
1 1 2
direct
0.0000 0.0000 0.0000
0.5000 0.5000 0.5000
0.2500 0.2500 0.2500
0.7500 0.7500 0.7500

---

Short version: 1 is the most stable of them.